The following is a DFT calculation (GGA-PBE) of a geometry-optimized YNpSe structure.

Calculated values
E_tot in eV per atom: -8.469
M_tot in μB/atom: 0.839
Calculated volume in Å³ per cell: 268.8
ΔE_f (raw) in kJ/mol of formula units: -243

Cell lengths 16.898, 3.809, 4.176 Å; angles 90.00, 90.00, 90.00 degrees
Space group Pnma (No. 62)
Symmetry-distinct sites (fractional):
Y (0.180, 0.250, 0.242) (multiplicity 4)
Np (0.002, 0.750, 0.192) (multiplicity 4)
Se (0.142, 0.750, 0.739) (multiplicity 4)

The following is a DFT calculation (GGA-PBE) of a geometry-optimized PmMg2Cd structure.

Calculated values
DFT formation energy in eV/atom: -0.2287
E_tot in eV per atom: -2.442
M_tot in μB/atom: 0.000
Calculated volume in Å³ per cell: 197.0

Cell lengths 5.198, 5.198, 7.291 Å; angles 90.00, 90.00, 90.00 degrees
Space group I-4m2 (No. 119)
Symmetry-distinct sites (fractional):
Pm (0.000, 0.000, 0.000) (multiplicity 2)
Mg (0.000, 0.000, 0.500) (multiplicity 2)
Mg (0.000, 0.500, 0.750) (multiplicity 2)
Cd (0.000, 0.500, 0.250) (multiplicity 2)

The following is a DFT calculation (GGA-PBE) of a geometry-optimized Be2CuBr structure.

Calculated values
E_tot in eV per atom: -2.817
M_tot in μB/atom: 0.000
Calculated volume in Å³ per cell: 167.6
ΔE_f (raw) in kJ/mol of formula units: 188

Cell lengths 3.1017, 3.1017, 20.1114 Å; angles 90.00, 90.00, 120.00 degrees
Space group R-3m (No. 166, hexagonal axes)
Symmetry-distinct sites (fractional):
Be (0.0000, 0.0000, 0.2441) (multiplicity 6)
Cu (0.0000, 0.0000, 0.5000) (multiplicity 3)
Br (0.0000, 0.0000, 0.0000) (multiplicity 3)

Which of these has the lowest calculated volume?
Be2CuBr